(1)
Below is a geometry-optimized Dy2YTmS4 structure, with properties calculated at the PBE-GGA level.

Geometry as POSCAR:
```
Dy2YTmS4
1.0
-1.663 -3.465 0.356
6.098 -2.926 0.013
-1.749 1.494 6.358
Y Tm S Dy
1 1 4 2
Direct
0.000 0.000 0.000 Y
0.500 0.500 0.000 Tm
0.500 0.747 0.751 S
0.000 0.255 0.754 S
0.500 0.253 0.249 S
0.000 0.745 0.246 S
0.500 0.000 0.500 Dy
0.000 0.500 0.500 Dy
```

Output
The total energy is -6.56 eV/atom. Its density of states at the Fermi level is 4.8 states/eV/f.u. As for the space group: P2/m. The value obtained for the uncorrected formation energy is -1.9753 eV/atom.


(2)
Below is a geometry-optimized Sm2InAg structure, with properties calculated at the PBE-GGA level.

Geometry as POSCAR:
```
Sm2InAg
1.0
-1.209 -3.175 1.595
0.720 -3.307 -1.622
7.940 -2.793 4.876
In Ag Sm
1 1 2
Direct
0.500 0.500 0.500 In
0.000 0.000 0.000 Ag
0.253 0.253 0.242 Sm
0.747 0.747 0.758 Sm
```

Output
The total energy is -3.92 eV/atom. Its density of states at the Fermi level is 4.1 states/eV/f.u. As for the space group: R-3m. The calculation puts the formation enthalpy at 0 K at -0.16 eV per atom.


(3)
Below is a geometry-optimized Tb3TmPb12 structure, with properties calculated at the PBE-GGA level.

Geometry as POSCAR:
```
Tb3TmPb12
1.0
-3.028 0.095 3.869
-3.064 -3.059 -2.323
9.259 -15.057 7.618
Pb Tb Tm
12 3 1
Direct
0.500 0.000 0.124 Pb
0.500 0.500 0.500 Pb
0.000 0.500 0.625 Pb
0.500 0.000 0.625 Pb
0.500 0.500 0.000 Pb
0.500 0.000 0.876 Pb
0.000 0.500 0.876 Pb
0.500 0.000 0.375 Pb
0.000 0.500 0.375 Pb
0.500 0.500 0.249 Pb
0.500 0.500 0.751 Pb
0.000 0.500 0.124 Pb
0.000 0.000 0.750 Tb
0.000 0.000 0.500 Tb
0.000 0.000 0.250 Tb
0.000 0.000 0.000 Tm
```

Output
The total energy is -4.21 eV/atom. Its density of states at the Fermi level is 8.1 states/eV/f.u. As for the space group: P4/mmm. The calculation puts the formation enthalpy at 0 K at -0.28 eV per atom.


(4)
Below is a geometry-optimized CsPa4Cu3Se12 structure, with properties calculated at the PBE-GGA level.

Geometry as POSCAR:
```
CsPa4Cu3Se12
1.0
-2.974 7.017 4.608
-6.024 -6.550 0.347
7.671 -2.833 3.528
Se Cu Pa Cs
12 3 4 1
Direct
0.322 0.829 0.151 Se
0.508 0.678 0.829 Se
0.492 0.322 0.171 Se
0.829 0.508 0.678 Se
0.322 0.171 0.492 Se
0.171 0.492 0.322 Se
0.171 0.849 0.678 Se
0.678 0.829 0.508 Se
0.678 0.171 0.849 Se
0.849 0.678 0.171 Se
0.829 0.151 0.322 Se
0.151 0.322 0.829 Se
0.500 0.500 0.000 Cu
0.500 0.000 0.500 Cu
0.000 0.500 0.500 Cu
0.500 0.500 0.500 Pa
0.000 0.000 0.500 Pa
0.000 0.500 0.000 Pa
0.500 0.000 0.000 Pa
0.000 0.000 0.000 Cs
```

Output
The total energy is -5.60 eV/atom. As for the space group: Im-3. The value obtained for the uncorrected formation energy is -0.9496 eV/atom.


(5)
Below is a geometry-optimized La2ZnAu3 structure, with properties calculated at the PBE-GGA level.

Geometry as POSCAR:
```
La2ZnAu3
1.0
6.017 -0.566 0.000
-0.799 5.991 0.000
-2.609 -2.712 8.143
Au La Zn
6 4 2
Direct
0.825 0.347 0.173 Au
0.828 0.828 0.656 Au
0.347 0.825 0.173 Au
0.653 0.175 0.827 Au
0.172 0.172 0.344 Au
0.175 0.653 0.827 Au
0.750 0.250 0.500 La
0.244 0.244 0.000 La
0.756 0.756 0.000 La
0.250 0.750 0.500 La
0.333 0.333 0.666 Zn
0.667 0.667 0.334 Zn
```

Output
The total energy is -4.25 eV/atom. Its density of states at the Fermi level is 4.3 states/eV/f.u. As for the space group: Fmmm. The calculation puts the formation enthalpy at 0 K at -0.76 eV per atom.


(6)
Below is a geometry-optimized GaGeBBr2 structure, with properties calculated at the PBE-GGA level.

Geometry as POSCAR:
```
GaGeBBr2
1.0
-3.658 3.545 1.765
0.787 -1.632 4.911
3.876 3.698 0.608
Br Ga B Ge
2 1 1 1
Direct
0.000 0.000 0.500 Br
0.500 0.000 0.000 Br
0.000 0.500 0.000 Ga
0.500 0.500 0.500 B
0.000 0.000 0.000 Ge
```

Output
The total energy is -2.56 eV/atom. Its density of states at the Fermi level is 4.3 states/eV/f.u. As for the space group: P4/mmm. The value obtained for the uncorrected formation energy is 0.9708 eV/atom.


What is the formula in the first record? Dy2YTmS4


What is the formula in the sixth record? GaGeBBr2